The following is a PBE with a Hubbard U calculation of a relaxed Ba2MnCuP4O14 crystal, from the Alexandria database.

Symmetry   No. 1
DOS(E_F)   1.9 states/eV/cell
Crystal system   triclinic
Calculated total energy   -7.168 eV per atom

```
22
Lattice="-4.500 0.846 -2.824 -3.518 -0.198 6.731 2.035 7.378 -0.657" Properties=species:S:1:pos:R:3 pbc="T T T"
Ba -1.732 6.892 4.057
Ba -4.216 1.103 -0.801
Mn -2.190 3.022 3.374
Cu -3.675 5.038 -0.285
P -5.274 2.019 2.831
P -0.710 5.967 0.421
P -4.851 4.906 3.054
P -1.157 3.163 0.203
O -6.032 1.004 3.678
O 0.022 7.033 -0.378
O -3.762 1.738 2.822
O -2.236 6.218 0.426
O -5.514 3.477 3.515
O -0.460 4.536 -0.311
O -2.688 3.352 0.066
O -3.330 4.764 3.247
O -0.759 3.055 1.726
O -5.203 5.058 1.547
O -5.841 2.093 1.393
O -0.133 5.840 1.858
O -5.488 5.976 3.897
O -0.594 2.026 -0.591
```